# 1
Material: YCd2Pt2
Method: DFT, GGA-PBE
State: optimized geometry

Values from the calculation:
* calculated formation energy: -0.6472 eV per atom
* E_tot: -0.174 Ha/atom
* V: 212.6 Å³ per cell
* ΔE to the lowest computed polymorph: 0.0021 eV per atom

Cell: 3.9834 3.9834 13.4013 Å, 90.00 90.00 90.00°
Element x y z (fractional)
Y (0.0000, 0.0000, 0.0000)
Y (0.5000, 0.5000, 0.5000)
Cd (0.0000, 0.5000, 0.2500)
Cd (0.0000, 0.5000, 0.7500)
Cd (0.5000, 0.0000, 0.2500)
Cd (0.5000, 0.0000, 0.7500)
Pt (0.0000, 0.0000, 0.4025)
Pt (0.0000, 0.0000, 0.5975)
Pt (0.5000, 0.5000, 0.0975)
Pt (0.5000, 0.5000, 0.9025)

***

# 2
Material: HoHfPdRh
Method: DFT, GGA-PBE
State: optimized geometry

Values from the calculation:
* calculated formation energy: -0.7648 eV per atom
* E_tot: -0.277 Ha/atom
* V: 307.2 Å³ per cell

Cell: 6.7474 6.7474 6.7474 Å, 90.00 90.00 90.00°
Element x y z (fractional)
Ho (0.0000, 0.0000, 0.0000)
Ho (0.0000, 0.5000, 0.5000)
Ho (0.5000, 0.0000, 0.5000)
Ho (0.5000, 0.5000, 0.0000)
Hf (0.0000, 0.0000, 0.5000)
Hf (0.0000, 0.5000, 0.0000)
Hf (0.5000, 0.0000, 0.0000)
Hf (0.5000, 0.5000, 0.5000)
Pd (0.2500, 0.2500, 0.2500)
Pd (0.2500, 0.7500, 0.7500)
Pd (0.7500, 0.2500, 0.7500)
Pd (0.7500, 0.7500, 0.2500)
Rh (0.2500, 0.2500, 0.7500)
Rh (0.2500, 0.7500, 0.2500)
Rh (0.7500, 0.2500, 0.2500)
Rh (0.7500, 0.7500, 0.7500)

***

# 3
Material: KTlS2
Method: DFT, GGA-PBE
State: optimized geometry

Values from the calculation:
* E_tot: -0.130 Ha/atom
* V: 488.8 Å³ per cell
* ΔE to the lowest computed polymorph: 0.0181 eV per atom
* formation energy (no corrections): -0.612 eV per atom

Cell: 6.6546 11.0019 6.6767 Å, 90.00 90.00 90.00°
Element x y z (fractional)
K (0.0087, 0.1243, 0.0000)
K (0.4913, 0.6243, 0.5000)
K (0.5087, 0.3757, 0.0000)
K (0.9913, 0.8757, 0.5000)
Tl (0.0510, 0.6250, 0.9511)
Tl (0.4490, 0.1250, 0.4511)
Tl (0.5510, 0.8750, 0.9511)
Tl (0.9490, 0.3750, 0.4511)
S (0.0040, 0.5922, 0.5660)
S (0.0652, 0.1594, 0.5170)
S (0.4348, 0.6594, 0.0170)
S (0.4960, 0.0922, 0.0660)
S (0.5040, 0.9078, 0.5660)
S (0.5652, 0.3406, 0.5170)
S (0.9348, 0.8406, 0.0170)
S (0.9960, 0.4078, 0.0660)